Entry 1:
Computed, not measured: a relaxed structure of Cu2BiSe3 at the PBE-GGA level of DFT. Values from VASP.

The structure in Quantum ESPRESSO input format:
```
&SYSTEM
  ibrav = 0, nat = 12, ntyp = 3
/
ATOMIC_SPECIES
Cu 63.55 Cu.upf
Bi 208.98 Bi.upf
Se 78.96 Se.upf
CELL_PARAMETERS angstrom
7.463 -0.328 -1.149
-4.323 6.093 -1.149
0.009 0.017 6.808
ATOMIC_POSITIONS angstrom
Cu 2.522 2.498 -1.092
Cu 4.412 1.417 2.328
Cu 0.736 3.482 2.313
Cu -1.207 4.467 -1.076
Bi -3.146 5.597 2.031
Bi 6.413 0.400 5.435
Se -0.863 1.616 2.377
Se 1.831 0.160 5.781
Se 4.623 2.380 4.512
Se -0.512 5.167 1.108
Se 0.924 3.981 4.662
Se 2.840 2.927 1.258
```

E above lowest polymorph   0 meV per atom
Formation energy without anion corrections   -186 meV per atom
Crystal system   monoclinic

=====

Entry 2:
Computed, not measured: a relaxed structure of Nd3Ag2Pt3 at the PBE-GGA level of DFT. Values from VASP.

The structure in Quantum ESPRESSO input format:
```
&SYSTEM
  ibrav = 0, nat = 16, ntyp = 3
/
ATOMIC_SPECIES
Nd 144.24 Nd.upf
Ag 107.87 Ag.upf
Pt 195.08 Pt.upf
CELL_PARAMETERS angstrom
5.837 0.000 0.000
0.000 7.571 -4.371
0.000 0.000 8.743
ATOMIC_POSITIONS angstrom
Nd 4.378 2.296 -1.325
Nd 4.378 5.276 3.046
Nd 4.378 0.000 2.651
Nd 1.459 5.276 -3.046
Nd 1.459 2.296 1.325
Nd 1.459 0.000 6.092
Ag 0.000 2.524 4.371
Ag 2.918 5.048 0.000
Ag 0.000 5.048 0.000
Ag 2.918 2.524 4.371
Pt 4.378 4.826 -2.786
Pt 4.378 2.746 1.585
Pt 4.378 0.000 5.572
Pt 1.459 2.746 -1.585
Pt 1.459 4.826 2.786
Pt 1.459 0.000 3.170
```

ΔH_f (0 K)   -0.76 eV/atom
Crystal system   hexagonal

=====

Entry 3:
Computed, not measured: a relaxed structure of CePmCl2 at the PBE-GGA level of DFT. Values from VASP.

The structure in Quantum ESPRESSO input format:
```
&SYSTEM
  ibrav = 0, nat = 4, ntyp = 3
/
ATOMIC_SPECIES
Cl 35.45 Cl.upf
Ce 140.12 Ce.upf
Pm 145.00 Pm.upf
CELL_PARAMETERS angstrom
-0.505 3.231 -1.420
-2.786 0.589 -2.145
-6.554 3.847 6.609
ATOMIC_POSITIONS angstrom
Cl -4.950 3.091 4.317
Cl -4.895 4.577 -1.273
Ce 0.000 0.000 0.000
Pm -4.922 3.834 1.522
```

Formation energy without anion corrections   -1287 meV per atom
Crystal system   trigonal

=====

Entry 4:
Computed, not measured: a relaxed structure of K3Pm3BiSe8 at the PBE-GGA level of DFT. Values from VASP.

The structure in Quantum ESPRESSO input format:
```
&SYSTEM
  ibrav = 0, nat = 15, ntyp = 4
/
ATOMIC_SPECIES
K 39.10 K.upf
Pm 145.00 Pm.upf
Bi 208.98 Bi.upf
Se 78.96 Se.upf
CELL_PARAMETERS angstrom
8.533 0.000 0.000
-4.267 7.395 -0.031
0.000 -4.903 7.877
ATOMIC_POSITIONS angstrom
K 0.000 0.000 0.000
K -2.133 3.698 -0.016
K 2.133 3.698 -0.015
Pm 4.267 -2.451 3.939
Pm 2.134 1.246 3.923
Pm -2.133 1.246 3.923
Bi 0.000 -2.451 3.938
Se 0.000 2.472 2.277
Se 4.267 0.020 5.569
Se 4.267 2.500 2.295
Se 0.000 -0.007 5.551
Se 6.423 -1.239 2.311
Se -2.156 3.731 5.535
Se 2.110 -1.239 2.311
Se 2.157 3.731 5.535
```

Formation energy without anion corrections   -1423 meV per atom
Crystal system   monoclinic

=====

Entry 5:
Computed, not measured: a relaxed structure of FeAg3Mo at the PBE-GGA level of DFT. Values from VASP.

The structure in Quantum ESPRESSO input format:
```
&SYSTEM
  ibrav = 0, nat = 5, ntyp = 3
/
ATOMIC_SPECIES
Mo 95.94 Mo.upf
Fe 55.84 Fe.upf
Ag 107.87 Ag.upf
CELL_PARAMETERS angstrom
-0.076 2.894 4.110
-5.017 -0.304 0.121
0.318 -4.100 2.892
ATOMIC_POSITIONS angstrom
Mo 0.000 0.000 0.000
Fe -2.387 -0.755 3.562
Ag -2.508 -0.152 0.060
Ag 0.159 -2.050 1.446
Ag -0.038 1.447 2.055
```

E above lowest polymorph   516 meV per atom
ΔH_f (0 K)   1.98 eV/atom
Crystal system   cubic

=====

Entry 6:
Computed, not measured: a relaxed structure of Dy8NiBi2 at the PBE-GGA level of DFT. Values from VASP.

The structure in Quantum ESPRESSO input format:
```
&SYSTEM
  ibrav = 0, nat = 11, ntyp = 3
/
ATOMIC_SPECIES
Dy 162.50 Dy.upf
Ni 58.69 Ni.upf
Bi 208.98 Bi.upf
CELL_PARAMETERS angstrom
-0.835 -2.867 -3.574
-4.530 -3.937 4.217
-6.104 7.411 -1.484
ATOMIC_POSITIONS angstrom
Dy -7.466 2.965 -0.634
Dy -2.408 0.007 -2.478
Dy -7.106 -0.555 -0.928
Dy -1.039 -0.852 0.926
Dy -4.363 1.162 0.087
Dy -9.062 0.600 1.637
Dy -4.004 -2.358 -0.207
Dy -10.430 1.460 -1.767
Ni -0.418 -1.433 -1.787
Bi -5.516 1.515 -2.961
Bi -5.954 -0.908 2.120
```

ΔH_f (0 K)   -0.33 eV/atom
Crystal system   monoclinic

=====

Entry 7:
Computed, not measured: a relaxed structure of Ba4Sr3Mg2 at the PBE-GGA level of DFT. Values from VASP.

The structure in Quantum ESPRESSO input format:
```
&SYSTEM
  ibrav = 0, nat = 9, ntyp = 3
/
ATOMIC_SPECIES
Ba 137.33 Ba.upf
Sr 87.62 Sr.upf
Mg 24.30 Mg.upf
CELL_PARAMETERS angstrom
-5.172 -2.138 -2.874
3.495 1.334 -7.282
4.341 -7.689 4.796
ATOMIC_POSITIONS angstrom
Ba 3.515 -2.857 -4.201
Ba -0.851 -5.637 -1.159
Ba 0.440 -0.900 -7.008
Ba 2.224 -7.594 1.649
Sr 1.195 -1.960 -0.693
Sr 1.468 -6.534 -4.667
Sr 1.747 0.667 -3.641
Mg 2.996 -5.438 -1.345
Mg -0.332 -3.056 -4.015
```

ΔH_f (0 K)   0.01 eV/atom
Crystal system   monoclinic

=====

Entry 8:
Computed, not measured: a relaxed structure of BeSi2Ni2 at the PBE-GGA level of DFT. Values from VASP.

The structure in Quantum ESPRESSO input format:
```
&SYSTEM
  ibrav = 0, nat = 10, ntyp = 3
/
ATOMIC_SPECIES
Ni 58.69 Ni.upf
Si 28.09 Si.upf
Be 9.01 Be.upf
CELL_PARAMETERS angstrom
-0.017 -3.123 -6.041
6.394 2.050 -1.078
0.859 -2.108 1.087
ATOMIC_POSITIONS angstrom
Ni 4.724 -0.214 -1.221
Ni 5.712 -1.456 -4.409
Ni 2.512 -2.968 -4.811
Ni 1.524 -1.725 -1.623
Si 5.566 0.626 -3.184
Si 4.004 -1.433 -5.942
Si 0.811 -1.700 -3.936
Si 2.373 0.360 -1.177
Be 0.000 0.000 0.000
Be 3.188 -0.537 -3.560
```

E above lowest polymorph   393 meV per atom
Formation energy without anion corrections   -72 meV per atom
Crystal system   tetragonal

=====

Entry 9:
Computed, not measured: a relaxed structure of Na3HfU2Se6 at the PBE-GGA level of DFT. Values from VASP.

The structure in Quantum ESPRESSO input format:
```
&SYSTEM
  ibrav = 0, nat = 12, ntyp = 4
/
ATOMIC_SPECIES
Na 22.99 Na.upf
Hf 178.49 Hf.upf
U 238.03 U.upf
Se 78.96 Se.upf
CELL_PARAMETERS angstrom
6.960 -0.002 -0.002
-3.480 6.028 -0.002
-1.162 -2.012 7.148
ATOMIC_POSITIONS angstrom
Na -2.290 3.999 3.572
Na 4.608 0.015 3.572
Na 1.159 2.007 3.572
Hf 0.000 0.000 0.000
U 0.002 4.017 -0.002
U 3.479 2.009 -0.002
Se 3.419 2.107 5.491
Se 2.381 4.122 1.647
Se -1.101 1.906 1.653
Se 0.116 4.015 5.491
Se -0.063 -0.109 5.497
Se 2.202 -0.001 1.653
```

Formation energy without anion corrections   -1193 meV per atom
Crystal system   monoclinic

=====

Entry 10:
Computed, not measured: a relaxed structure of CaTaNbPb2 at the PBE-GGA level of DFT. Values from VASP.

The structure in Quantum ESPRESSO input format:
```
&SYSTEM
  ibrav = 0, nat = 5, ntyp = 4
/
ATOMIC_SPECIES
Pb 207.20 Pb.upf
Nb 92.91 Nb.upf
Ca 40.08 Ca.upf
Ta 180.95 Ta.upf
CELL_PARAMETERS angstrom
5.431 0.000 0.000
0.000 4.742 0.000
0.000 0.000 5.431
ATOMIC_POSITIONS angstrom
Pb 0.000 0.000 2.715
Pb 2.715 0.000 0.000
Nb 0.000 2.371 0.000
Ca 0.000 0.000 0.000
Ta 2.715 2.371 2.715
```

ΔH_f (0 K)   2.04 eV/atom
Crystal system   tetragonal

=====

Entry 11:
Computed, not measured: a relaxed structure of Pr2SmDyEr2 at the PBE-GGA level of DFT. Values from VASP.

The structure in Quantum ESPRESSO input format:
```
&SYSTEM
  ibrav = 0, nat = 12, ntyp = 4
/
ATOMIC_SPECIES
Pr 140.91 Pr.upf
Sm 150.36 Sm.upf
Dy 162.50 Dy.upf
Er 167.26 Er.upf
CELL_PARAMETERS angstrom
-1.667 4.922 2.339
-5.418 0.287 -4.466
-5.593 -4.966 6.465
ATOMIC_POSITIONS angstrom
Pr -6.469 -2.502 7.598
Pr -2.357 -0.777 -0.044
Pr -3.587 2.606 -1.098
Pr -8.741 -3.897 1.971
Sm -2.836 -2.482 3.201
Sm -5.544 -2.337 0.966
Dy -5.936 -0.759 4.309
Dy -6.819 1.006 -0.035
Er -6.064 -4.069 4.239
Er -4.093 0.877 2.180
Er -5.036 -0.606 -2.314
Er -8.660 -0.630 2.095
```

ΔH_f (0 K)   0.07 eV/atom
Crystal system   orthorhombic

=====

Entry 12:
Computed, not measured: a relaxed structure of AgAu at the PBE-GGA level of DFT. Values from VASP.

The structure in Quantum ESPRESSO input format:
```
&SYSTEM
  ibrav = 0, nat = 2, ntyp = 2
/
ATOMIC_SPECIES
Au 196.97 Au.upf
Ag 107.87 Ag.upf
CELL_PARAMETERS angstrom
4.409 0.000 0.000
2.204 3.818 0.000
2.204 1.273 3.600
ATOMIC_POSITIONS angstrom
Au 2.204 1.273 0.900
Ag 0.000 0.000 0.000
```

ΔH_f (0 K)   0.66 eV/atom
Crystal system   cubic